No. 1
Material: SbTe2HO
Method: DFT, GGA-PBE
State: relaxed

Values from the calculation:
Energy above the most stable polymorph in this dataset, meV per atom: 0
Space-group type: P4/mmm, No. 123

Unit cell a=4.885 b=4.885 c=4.693 alpha=90.00 beta=90.00 gamma=90.00
Positions (direct):
Sb 0.000 0.000 0.500
H 0.500 0.500 0.500
Te 0.500 0.000 0.000
Te 0.000 0.500 0.000
O 0.000 0.000 0.000

---

No. 2
Material: SbTe2HO
Method: DFT, GGA-PBE
State: relaxed

Values from the calculation:
Energy above the most stable polymorph in this dataset, meV per atom: 86
Space-group type: P4/mmm, No. 123

Unit cell a=4.241 b=4.241 c=5.439 alpha=90.00 beta=90.00 gamma=90.00
Positions (direct):
Te 0.500 0.000 0.000
Te 0.000 0.500 0.000
O 0.500 0.500 0.500
Sb 0.000 0.000 0.500
H 0.000 0.000 0.000

---

No. 3
Material: Sc2HO
Method: DFT, GGA-PBE
State: relaxed

Values from the calculation:
Energy above the most stable polymorph in this dataset, meV per atom: 699
Space-group type: Fm-3m, No. 225

Unit cell a=3.955 b=3.955 c=3.955 alpha=60.00 beta=60.00 gamma=60.00
Positions (direct):
O 0.500 0.500 0.500
Sc 0.250 0.250 0.250
Sc 0.750 0.750 0.750
H 0.000 0.000 0.000

---

What did the first record say?
Material: SbTe2HO
Method: DFT, GGA-PBE
State: relaxed

Values from the calculation:
Energy above the most stable polymorph in this dataset, meV per atom: 0
Space-group type: P4/mmm, No. 123

Unit cell a=4.885 b=4.885 c=4.693 alpha=90.00 beta=90.00 gamma=90.00
Positions (direct):
Sb 0.000 0.000 0.500
H 0.500 0.500 0.500
Te 0.500 0.000 0.000
Te 0.000 0.500 0.000
O 0.000 0.000 0.000

---

Look up the energy above the most stable polymorph in this dataset of the third one.
699 meV per atom

---

energy above the most stable polymorph in this dataset of number 3 (Sc2HO)?
699 meV per atom

---

energy above the most stable polymorph in this dataset of number 1 (SbTe2HO)?
0 meV per atom